Computed, not measured: an optimized crystal structure of ZnCu3Ag at the PBE-GGA level of DFT.

Cell lengths 4.451, 4.451, 4.451 Å; angles 90.00, 90.00, 90.00 degrees
Fractional positions:
Zn 0.000 0.000 0.000
Cu 0.000 0.000 0.500
Cu 0.000 0.500 0.000
Cu 0.500 0.000 0.000
Ag 0.500 0.500 0.500

E above lowest polymorph	611	meV/atom
crystal system	cubic
V	17.63	Å³/atom
energy	-2.6165	eV/atom
E_form	0.67	eV per atom
Fermi-level density of states	1.9	states/eV/f.u.

Computed, not measured: an optimized crystal structure of ZrSc5In3 at the PBE-GGA level of DFT.

Cell lengths 8.740, 8.740, 6.242 Å; angles 90.00, 90.00, 120.00 degrees
Fractional positions:
Zr 0.000 0.000 0.000
Zr 0.000 0.000 0.500
Sc 0.000 0.325 0.250
Sc 0.000 0.675 0.750
Sc 0.325 0.000 0.250
Sc 0.325 0.325 0.750
Sc 0.333 0.667 0.000
Sc 0.333 0.667 0.500
Sc 0.667 0.333 0.000
Sc 0.667 0.333 0.500
Sc 0.675 0.000 0.750
Sc 0.675 0.675 0.250
In 0.000 0.341 0.750
In 0.000 0.659 0.250
In 0.341 0.000 0.750
In 0.341 0.341 0.250
In 0.659 0.000 0.250
In 0.659 0.659 0.750

crystal system	hexagonal
V	22.94	Å³/atom
energy	-5.7410	eV/atom
E_form	-0.36	eV per atom
Fermi-level density of states	10.7	states/eV/f.u.